## CrCuP2 (GGA-PBEsol)

Data for CrCuP2 after structural relaxation.

energy relative to the elements	30	kJ/mol of formula units
spin magnetization	0.000	μB/cell
crystal system	tetragonal
E_tot	-25.85	eV per cell
V	11.74	Å³/atom

Cell and atoms, written as extended XYZ:
```
4
Lattice="3.9716 0.0000 0.0000 0.0000 3.9716 0.0000 0.0000 0.0000 2.9770" Properties=species:S:1:pos:R:3 pbc="T T T"
Cr 0.0000 0.0000 0.0000
Cu 1.9858 1.9858 0.0000
P 0.0000 1.9858 1.4885
P 1.9858 0.0000 1.4885
```